Entry 1:
VASP calculation (PBE) on an optimized crystal structure of InBiN2F.

The space group is P4/mmm (No. 123) and the conventional cell measures 4.423, 4.423 and 4.488 Å, with angles of 90.00, 90.00 and 90.00 degrees. The inequivalent atoms are In at (0.000, 0.000, 0.000), Bi at (0.500, 0.500, 0.500), N at (0.000, 0.500, 0.500) and F at (0.500, 0.500, 0.000).

For the energy above the most stable polymorph in this dataset, the calculation gives 224 meV per atom.

Entry 2:
VASP calculation (PBE) on an optimized crystal structure of Pm7NdTh3.

The space group is P-1 (No. 2) and the conventional cell measures 6.386, 7.812 and 7.830 Å, with angles of 81.82, 84.82 and 84.93 degrees. The inequivalent atoms are Pm at (0.000, 0.000, 0.000), Pm at (0.211, 0.270, 0.270), Pm at (0.262, 0.569, 0.923), Pm at (0.262, 0.923, 0.570), Nd at (0.500, 0.000, 0.000), Th at (0.001, 0.672, 0.328) and Th at (0.500, 0.500, 0.500).

The energy of formation from the pure elements is 2.80 eV per formula unit.

Entry 3:
VASP calculation (PBE) on an optimized crystal structure of Cs2KIrBr6.

The space group is Fm-3m (No. 225) and the conventional cell measures 11.376, 11.376 and 11.376 Å, with angles of 90.00, 90.00 and 90.00 degrees. The inequivalent atoms are Cs at (0.250, 0.250, 0.250), K at (0.000, 0.000, 0.000), Ir at (0.000, 0.000, 0.500) and Br at (0.000, 0.000, 0.279).

The total DFT energy (no corrections) is -133.21 eV for the cell shown.

Size of the total moment across the listed records, respectively: 1.2; 0.0; 0.0 μB/f.u..